[1]
Below is an optimized crystal structure of YHf2Ag, with properties calculated at the PBE-GGA level.

Lattice parameters (Å, degrees): 5.012 5.012 5.012 60.00 60.00 60.00
Fractional positions:
Y  0.000  0.000  0.000
Hf  0.250  0.250  0.250
Hf  0.750  0.750  0.750
Ag  0.500  0.500  0.500

[2]
Below is an optimized crystal structure of YHfAg, with properties calculated at the PBE-GGA level.

Lattice parameters (Å, degrees): 5.152 5.152 5.927 90.00 90.00 120.00
Fractional positions:
Y  0.333  0.667  0.250
Y  0.667  0.333  0.750
Hf  0.333  0.667  0.750
Hf  0.667  0.333  0.250
Ag  0.000  0.000  0.000
Ag  0.000  0.000  0.500

[3]
Below is an optimized crystal structure of YHfAg2, with properties calculated at the PBE-GGA level.

Lattice parameters (Å, degrees): 7.919 7.919 6.344 51.38 51.38 90.00
Fractional positions:
Y  0.500  0.500  0.000
Y  0.250  0.750  0.500
Hf  0.000  0.000  0.000
Hf  0.750  0.250  0.500
Ag  0.647  0.125  0.250
Ag  0.103  0.625  0.250
Ag  0.375  0.353  0.750
Ag  0.875  0.897  0.750

[4]
Below is an optimized crystal structure of YHfAg, with properties calculated at the PBE-GGA level.

Lattice parameters (Å, degrees): 8.513 6.821 4.906 90.00 90.00 90.00
Fractional positions:
Y  0.000  0.000  0.000
Y  0.500  0.500  0.500
Y  0.500  0.000  0.500
Y  0.000  0.500  0.000
Hf  0.333  0.250  0.000
Hf  0.167  0.750  0.500
Hf  0.667  0.750  0.000
Hf  0.833  0.250  0.500
Ag  0.667  0.250  0.000
Ag  0.833  0.750  0.500
Ag  0.333  0.750  0.000
Ag  0.167  0.250  0.500

[5]
Below is an optimized crystal structure of YHfAg, with properties calculated at the PBE-GGA level.

Lattice parameters (Å, degrees): 3.377 3.377 6.636 104.74 104.74 90.00
Fractional positions:
Y  0.999  0.999  0.998
Hf  0.681  0.681  0.361
Ag  0.320  0.320  0.641

[6]
Below is an optimized crystal structure of YHfAg, with properties calculated at the PBE-GGA level.

Lattice parameters (Å, degrees): 10.003 4.850 3.308 90.00 89.96 118.99
Fractional positions:
Y  0.759  0.235  0.571
Y  0.170  0.146  0.570
Hf  0.527  0.503  0.071
Hf  0.403  0.880  0.572
Ag  0.870  0.846  0.071
Ag  0.076  0.552  0.070

[7]
Below is an optimized crystal structure of YHfAg2, with properties calculated at the PBE-GGA level.

Lattice parameters (Å, degrees): 4.989 4.989 4.989 60.00 60.00 60.00
Site moments in Bohr magnetons follow the coordinates.
Fractional positions:
Y  0.000  0.000  0.000  0.13
Hf  0.500  0.500  0.500  0.33
Ag  0.250  0.250  0.250  0.03
Ag  0.750  0.750  0.750  0.03

[8]
Below is an optimized crystal structure of YHfAg3, with properties calculated at the PBE-GGA level.

Lattice parameters (Å, degrees): 5.140 5.140 5.140 90.00 90.00 90.00
Fractional positions:
Y  0.500  0.500  0.500
Hf  0.000  0.000  0.000
Ag  0.000  0.500  0.000
Ag  0.000  0.000  0.500
Ag  0.500  0.000  0.000

[9]
Below is an optimized crystal structure of YHfAg, with properties calculated at the PBE-GGA level.

Lattice parameters (Å, degrees): 4.464 4.464 7.298 90.00 90.00 90.00
Fractional positions:
Y  0.000  0.000  0.500
Y  0.500  0.500  0.500
Hf  0.000  0.500  0.135
Hf  0.500  0.000  0.865
Ag  0.000  0.500  0.779
Ag  0.500  0.000  0.221

[10]
Below is an optimized crystal structure of YHfAg, with properties calculated at the PBE-GGA level.

Lattice parameters (Å, degrees): 6.593 4.760 4.841 90.00 68.42 90.00
Fractional positions:
Y  0.659  0.411  0.692
Y  0.276  0.911  0.884
Hf  0.632  0.911  0.206
Hf  0.303  0.411  0.371
Ag  0.967  0.911  0.539
Ag  0.968  0.411  0.038

[11]
Below is an optimized crystal structure of YHfAg, with properties calculated at the PBE-GGA level.

Lattice parameters (Å, degrees): 3.422 5.734 7.874 86.93 102.55 72.59
Fractional positions:
Y  0.790  0.992  0.884
Y  0.283  0.630  0.509
Hf  0.428  0.074  0.243
Hf  0.645  0.548  0.151
Ag  0.046  0.447  0.854
Ag  0.027  0.175  0.539

[12]
Below is an optimized crystal structure of YHfAg2, with properties calculated at the PBE-GGA level.

Lattice parameters (Å, degrees): 3.450 5.033 5.033 90.00 90.00 90.00
Site moments in Bohr magnetons follow the coordinates.
Fractional positions:
Y  0.500  0.000  0.000  0.12
Hf  0.500  0.500  0.500  0.34
Ag  0.000  0.000  0.500  0.03
Ag  0.000  0.500  0.000  0.03

Number 1: volume 22.26 A^3/atom, polymorph energy (0 for the lowest one) 0 kJ/mol of formula units, DFT total energy -6.95 eV per atom. Number 2: volume 22.70 A^3/atom, polymorph energy (0 for the lowest one) 167 kJ/mol of formula units, DFT total energy -5.96 eV per atom. Number 3: volume 23.37 A^3/atom, polymorph energy (0 for the lowest one) 152 kJ/mol of formula units, DFT total energy -5.21 eV per atom. Number 4: volume 23.74 A^3/atom, polymorph energy (0 for the lowest one) 74 kJ/mol of formula units, DFT total energy -6.29 eV per atom. Number 5: volume 23.53 A^3/atom, polymorph energy (0 for the lowest one) 22 kJ/mol of formula units, DFT total energy -6.46 eV per atom. Number 6: volume 23.39 A^3/atom, polymorph energy (0 for the lowest one) 12 kJ/mol of formula units, DFT total energy -6.50 eV per atom. Number 7: volume 21.95 A^3/atom, polymorph energy (0 for the lowest one) 16 kJ/mol of formula units, DFT total energy -5.57 eV per atom. Number 8: volume 27.16 A^3/atom, polymorph energy (0 for the lowest one) 0 kJ/mol of formula units, DFT total energy -4.30 eV per atom. Number 9: volume 24.23 A^3/atom, polymorph energy (0 for the lowest one) 116 kJ/mol of formula units, DFT total energy -6.14 eV per atom. Number 10: volume 23.55 A^3/atom, polymorph energy (0 for the lowest one) 27 kJ/mol of formula units, DFT total energy -6.45 eV per atom. Number 11: volume 23.78 A^3/atom, polymorph energy (0 for the lowest one) 12 kJ/mol of formula units, DFT total energy -6.50 eV per atom. Number 12: volume 21.85 A^3/atom, polymorph energy (0 for the lowest one) 11 kJ/mol of formula units, DFT total energy -5.58 eV per atom.